Entry 1:
This record from the Alexandria database describes a relaxed Ir2OsBr crystal. The functional is PBE.

Total moment, μB/f.u.: 0.000
V, A^3/atom: 16.4
Distance to the lowest polymorph of the same formula, meV per atom: 277

a b c (Å): 2.782 4.492 5.249
angles (deg): 90.00 90.82 90.00
Fractional positions:
Ir  0.000  0.000  0.000
Ir  0.008  0.500  0.317
Os  0.493  0.500  0.884
Br  0.012  0.000  0.524

Entry 2:
This record from the Alexandria database describes a relaxed Er7Sb3C2 crystal. The functional is PBE.

Total moment, μB/f.u.: 0.001
V, A^3/atom: 23.3
Total energy, eV per atom: -5.912

a b c (Å): 12.477 12.477 4.746
angles (deg): 90.00 90.00 157.72
Fractional positions:
Er  0.000  0.000  0.000
Er  0.097  0.903  0.500
Er  0.197  0.803  0.000
Er  0.403  0.597  0.000
Er  0.597  0.403  0.000
Er  0.803  0.197  0.000
Er  0.903  0.097  0.500
Sb  0.312  0.688  0.500
Sb  0.500  0.500  0.500
Sb  0.688  0.312  0.500
C  0.100  0.900  0.000
C  0.900  0.100  0.000